No. 1
This record from OQMD via LeMat-Bulk describes a relaxed Hf3MgC crystal. The functional is PBE-GGA.

Cell and atoms, written as CIF:
```
data_Hf3MgC
_cell_length_a 4.531
_cell_length_b 4.531
_cell_length_c 4.531
_cell_angle_alpha 90.00
_cell_angle_beta 90.00
_cell_angle_gamma 90.00
_space_group_name_H-M_alt 'P m -3 m'
_space_group_IT_number 221
_space_group_name_Hall '-P 4 2 3'
loop_
_atom_site_label
_atom_site_type_symbol
_atom_site_fract_x
_atom_site_fract_y
_atom_site_fract_z
Hf1 Hf 0.000 0.000 0.500
Mg1 Mg 0.500 0.500 0.500
C1 C 0.000 0.000 0.000
```

Properties
E in eV per atom: -8.451
Total magnetization in μB per cell: 0.00



No. 2
This record from OQMD via LeMat-Bulk describes a relaxed Hf4MgPbC2 crystal. The functional is PBE-GGA.

Cell and atoms, written as CIF:
```
data_Hf4MgPbC2
_cell_length_a 3.3333
_cell_length_b 3.3333
_cell_length_c 15.1503
_cell_angle_alpha 90.00
_cell_angle_beta 90.00
_cell_angle_gamma 120.00
_space_group_name_H-M_alt 'P -6 m 2'
_space_group_IT_number 187
_space_group_name_Hall 'P -6 2'
loop_
_atom_site_label
_atom_site_type_symbol
_atom_site_fract_x
_atom_site_fract_y
_atom_site_fract_z
Hf1 Hf 0.0000 0.0000 0.1654
Hf2 Hf 0.3333 0.6667 0.3257
Mg1 Mg 0.0000 0.0000 0.5000
Pb1 Pb 0.3333 0.6667 0.0000
C1 C 0.6667 0.3333 0.2448
```

Properties
E in eV per atom: -8.500
Total magnetization in μB per cell: 0.01



No. 3
This record from OQMD via LeMat-Bulk describes a relaxed Hf4MgSnC2 crystal. The functional is PBE-GGA.

Cell and atoms, written as CIF:
```
data_Hf4MgSnC2
_cell_length_a 3.3158
_cell_length_b 3.3158
_cell_length_c 15.0431
_cell_angle_alpha 90.00
_cell_angle_beta 90.00
_cell_angle_gamma 120.00
_space_group_name_H-M_alt 'P -6 m 2'
_space_group_IT_number 187
_space_group_name_Hall 'P -6 2'
loop_
_atom_site_label
_atom_site_type_symbol
_atom_site_fract_x
_atom_site_fract_y
_atom_site_fract_z
Hf1 Hf 0.0000 0.0000 0.1612
Hf2 Hf 0.3333 0.6667 0.3239
Mg1 Mg 0.0000 0.0000 0.5000
Sn1 Sn 0.3333 0.6667 0.0000
C1 C 0.6667 0.3333 0.2426
```

Properties
E in eV per atom: -8.607
Total magnetization in μB per cell: 0.00



The highest total magnetization belongs to which entry?
Hf4MgPbC2



E of number 3 (Hf4MgSnC2)?
-8.607 eV per atom



Copy entry 2 word for word.
This record from OQMD via LeMat-Bulk describes a relaxed Hf4MgPbC2 crystal. The functional is PBE-GGA.

Cell and atoms, written as CIF:
```
data_Hf4MgPbC2
_cell_length_a 3.3333
_cell_length_b 3.3333
_cell_length_c 15.1503
_cell_angle_alpha 90.00
_cell_angle_beta 90.00
_cell_angle_gamma 120.00
_space_group_name_H-M_alt 'P -6 m 2'
_space_group_IT_number 187
_space_group_name_Hall 'P -6 2'
loop_
_atom_site_label
_atom_site_type_symbol
_atom_site_fract_x
_atom_site_fract_y
_atom_site_fract_z
Hf1 Hf 0.0000 0.0000 0.1654
Hf2 Hf 0.3333 0.6667 0.3257
Mg1 Mg 0.0000 0.0000 0.5000
Pb1 Pb 0.3333 0.6667 0.0000
C1 C 0.6667 0.3333 0.2448
```

Properties
E in eV per atom: -8.500
Total magnetization in μB per cell: 0.01